PBE-GGA SrReRh2, optimized geometry; ΔE to the lowest computed polymorph = 0.71 eV/f.u.; DOS(E_F) = 3.71 states/eV/f.u.
1.0
4.933 0.002 0.000
4.075 2.782 0.000
0.957 0.296 5.592
Rh Re Sr
2 1 1
Cartesian
9.039 2.793 0.218
7.353 2.272 4.438
2.595 0.802 0.805
4.967 1.535 2.930

=====

PBE-GGA Zr3Al3Si, optimized geometry; formation energy from raw total energies = -0.204 eV/atom; ΔE to the lowest computed polymorph = 1.55 eV/f.u.; DOS(E_F) = 3.85 states/eV/f.u.
1.0
-2.062 -2.105 0.861
5.060 -6.652 -4.141
4.757 -1.378 8.025
Al Si Zr
6 2 6
Cartesian
-0.706 -2.318 0.850
2.157 -2.597 1.554
0.855 -4.371 -0.427
8.460 -7.815 3.894
6.899 -5.763 5.171
5.598 -7.537 3.190
2.406 -4.020 4.145
5.348 -6.114 0.599
5.230 -8.710 -0.558
2.967 -6.775 -1.248
2.733 -5.428 1.486
5.021 -4.706 3.258
2.524 -1.423 5.302
4.788 -3.359 5.993

=====

PBE-GGA Re2PRu, optimized geometry; E = -38.41 eV per cell; DOS(E_F) = 4.13 states/eV/f.u.
1.0
-0.429 2.720 1.062
-1.726 -1.696 3.645
4.010 -0.093 1.855
Re Ru P
2 1 1
Cartesian
0.000 0.000 0.000
-1.077 0.512 2.354
1.791 1.314 1.459
1.142 -0.894 2.750

=====

DOS(E_F) of number 1 (SrReRh2)? 3.71 states/eV/f.u.